# CsBaNa | Alexandria via LeMat-Bulk | PBE | relaxed
data_CsBaNa
_chemical_formula_sum 'Cs2 Ba2 Na2'
_cell_length_a 21.6355
_cell_length_b 4.6542
_cell_length_c 4.6542
_cell_angle_alpha 60.69
_cell_angle_beta 90.00
_cell_angle_gamma 90.00
_space_group_name_H-M_alt 'P 1'
_space_group_IT_number 1
_space_group_name_Hall 'P 1'
loop_
_atom_site_label
_atom_site_fract_x
_atom_site_fract_y
_atom_site_fract_z
_atom_site_occupancy
Cs1 0.1648 0.0000 0.0000 1
Cs2 0.8352 0.0000 0.0000 1
Ba1 0.3604 0.6543 0.6543 1
Ba2 0.6396 0.6543 0.6543 1
Na1 0.0000 0.6597 0.6597 1
Na2 0.5000 0.9931 0.9931 1
# E_tot, eV per cell: -7.49
# Space group: No. 38
# ΔE to the lowest computed polymorph, eV per atom: 0.027
# Formation energy from the elements, eV/atom: 0.116
# Fermi-level density of states, states/eV/cell: 6.074
# Theoretical density, g/cm³: 2.38

# AlPdIO2 | Alexandria via LeMat-Bulk | PBE | relaxed
data_AlPdIO2
_chemical_formula_sum 'Al1 Pd1 I1 O2'
_cell_length_a 3.6772
_cell_length_b 3.6772
_cell_length_c 6.9949
_cell_angle_alpha 90.00
_cell_angle_beta 90.00
_cell_angle_gamma 90.00
_space_group_name_H-M_alt 'P 1'
_space_group_IT_number 1
_space_group_name_Hall 'P 1'
loop_
_atom_site_label
_atom_site_fract_x
_atom_site_fract_y
_atom_site_fract_z
_atom_site_occupancy
Al1 0.0000 0.0000 0.0000 1
Pd1 0.5000 0.5000 0.5000 1
I1 0.0000 0.0000 0.5000 1
O1 0.0000 0.5000 0.0000 1
O2 0.5000 0.0000 0.0000 1
# E_tot, eV per cell: -24.83
# Space group: No. 123
# ΔE to the lowest computed polymorph, eV per atom: 0.000
# Formation energy from raw total energies, meV/atom: -885
# Fermi-level density of states, states/eV/cell: 4.728
# Theoretical density, g/cm³: 5.13

# TbScCo2 | Alexandria via LeMat-Bulk | PBE | relaxed
data_TbScCo2
_chemical_formula_sum 'Tb1 Sc1 Co2'
_cell_length_a 3.2402
_cell_length_b 3.2402
_cell_length_c 6.4857
_cell_angle_alpha 90.00
_cell_angle_beta 90.00
_cell_angle_gamma 90.00
_space_group_name_H-M_alt 'P 1'
_space_group_IT_number 1
_space_group_name_Hall 'P 1'
loop_
_atom_site_label
_atom_site_fract_x
_atom_site_fract_y
_atom_site_fract_z
_atom_site_occupancy
Tb1 0.0000 0.0000 0.0000 1
Sc1 0.0000 0.0000 0.5000 1
Co1 0.5000 0.5000 0.2705 1
Co2 0.5000 0.5000 0.7295 1
# E_tot, eV per cell: -26.01
# Space group: No. 123
# ΔE to the lowest computed polymorph, eV per atom: 0.000
# Formation energy from the elements, eV/atom: -0.208
# Fermi-level density of states, states/eV/cell: 3.351
# Theoretical density, g/cm³: 7.85